Entry from Alexandria via LeMat-Bulk: a relaxed SrSn2GeBr8 crystal (PBE-GGA).

Cell and atoms, written as POSCAR:
```
SrSn2GeBr8
1.0
-4.187 3.973 4.158
3.039 -2.529 5.553
5.966 6.569 -0.271
Sr Br Sn Ge
1 8 2 1
direct
0.000 0.000 0.500
0.654 0.732 0.500
0.161 0.768 0.232
0.839 0.232 0.232
0.346 0.268 0.500
0.839 0.232 0.768
0.161 0.768 0.768
0.322 0.251 0.000
0.678 0.749 0.000
0.500 0.500 0.759
0.500 0.500 0.241
0.000 0.000 0.000
```

## Properties
Theoretical density in g/cm3: 4.0
DFT total energy in eV per atom: -3.335
Volume in Å³ per atom: 35.88
Fermi-level density of states in states/eV/cell: 0.0
Energy relative to the elements, uncorrected in kJ/mol of formula units: -1190